# 1
Nd2InSe2O2 PBE-GGA optimized geometry; symmetry = C2/m (12); total magnetic moment = 0.000 μB/atom; calculated total energy = -6.235 eV per atom; formation energy from raw total energies = -2069 meV per atom
1.0
-2.196 -0.735 3.143
-2.929 -5.948 -1.012
3.051 -5.152 3.353
In O Nd Se
1 2 2 2
direct
0.000 0.000 0.000
0.788 0.332 0.093
0.212 0.668 0.907
0.182 0.386 0.251
0.818 0.614 0.749
0.449 0.774 0.328
0.551 0.226 0.672

***

# 2
NdSm2InO PBE-GGA optimized geometry; symmetry = P4/mmm (123); total magnetic moment = 0.000 μB/atom; calculated total energy = -5.797 eV per atom; formation energy from raw total energies = -1417 meV per atom
1.0
4.991 0.000 0.000
0.000 4.907 0.000
0.000 0.000 4.907
Sm In O Nd
2 1 1 1
direct
0.000 0.000 0.500
0.000 0.500 0.000
0.500 0.500 0.500
0.000 0.000 0.000
0.500 0.000 0.000

***

# 3
Nd2SmInO PBE-GGA optimized geometry; symmetry = P4/mmm (123); total magnetic moment = 0.000 μB/atom; calculated total energy = -5.801 eV per atom; formation energy from raw total energies = -1411 meV per atom
1.0
-2.743 3.928 1.041
-1.361 -2.094 4.319
3.905 2.127 2.262
In Nd Sm O
1 2 1 1
direct
0.500 0.500 0.500
0.000 0.500 0.000
0.000 0.000 0.500
0.500 0.000 0.000
0.000 0.000 0.000

***

# 4
Nd12SmIn4O3 PBE-GGA optimized geometry; symmetry = Im-3m (229); total magnetic moment = 0.026 μB/atom; calculated total energy = -5.177 eV per atom; formation energy from raw total energies = -789 meV per atom
1.0
-2.804 7.402 -4.059
3.634 -5.475 -5.996
-6.900 -4.037 3.903
Nd O In Sm
12 3 4 1
direct
0.250 0.750 0.500
0.500 0.750 0.250
0.273 0.000 0.273
0.000 0.273 0.273
0.500 0.250 0.750
0.727 0.727 0.000
0.727 0.000 0.727
0.273 0.273 0.000
0.250 0.500 0.750
0.750 0.250 0.500
0.000 0.727 0.727
0.750 0.500 0.250
0.000 0.500 0.500
0.500 0.000 0.500
0.500 0.500 0.000
0.500 0.000 0.000
0.000 0.500 0.000
0.000 0.000 0.500
0.500 0.500 0.500
0.000 0.000 0.000

***

> Which value of total magnetic moment does entry 1 give?

0.000 μB/atom

***

> What is the calculated total energy in the third record?

-5.801 eV per atom

***

> Among the records above, which one has the highest formation energy from raw total energies?

Nd12SmIn4O3